## Tb2Pr3Se6 (PBE)

Data for a relaxed Tb2Pr3Se6 crystal.

Cell and atoms, written as extended XYZ:
```
11
Lattice="2.1051 1.2154 20.8288 -2.1051 1.2154 20.8288 0.0000 -2.4308 20.8288" Properties=species:S:1:pos:R:3 pbc="T T T"
Tb 0.0000 0.0000 3.2233
Tb 0.0000 0.0000 59.2632
Pr 0.0000 0.0000 13.9116
Pr 0.0000 0.0000 31.2432
Pr 0.0000 0.0000 48.5749
Se 0.0000 0.0000 8.6471
Se 0.0000 0.0000 18.9616
Se 0.0000 0.0000 25.8891
Se 0.0000 0.0000 36.5974
Se 0.0000 0.0000 43.5249
Se 0.0000 0.0000 53.8394
```

Summary:
energy	-5.8707	eV per atom
space group	R-3m, No. 166
E_form (uncorrected)	-1.82	eV per atom
spin magnetization	0.000	μB per formula unit

***

## TbPr4Se5 (PBE)

Data for a relaxed TbPr4Se5 crystal.

Cell and atoms, written as extended XYZ:
```
10
Lattice="-2.1133 2.1133 15.0256 2.1133 -2.1133 15.0256 2.1133 2.1133 -15.0256" Properties=species:S:1:pos:R:3 pbc="T T T"
Tb 0.0000 0.0000 0.0000
Pr 0.0000 0.0000 5.8728
Pr 0.0000 0.0000 11.9704
Pr 0.0000 0.0000 18.0809
Pr 0.0000 0.0000 24.1784
Se 0.0000 0.0000 2.8749
Se 0.0000 0.0000 8.9389
Se 0.0000 0.0000 15.0256
Se 0.0000 0.0000 21.1124
Se 0.0000 0.0000 27.1764
```

Summary:
energy	-5.9400	eV per atom
space group	I4/mmm, No. 139
E_form (uncorrected)	-1.82	eV per atom
spin magnetization	0.000	μB per formula unit

***

## TbPr2Se4 (PBE)

Data for a relaxed TbPr2Se4 crystal.

Cell and atoms, written as extended XYZ:
```
14
Lattice="2.0266 -7.0388 0.0000 2.0266 7.0388 0.0000 0.0000 0.0000 14.1704" Properties=species:S:1:pos:R:3 pbc="T T T"
Tb 2.0266 5.2406 10.6278
Tb 2.0266 -5.2406 3.5426
Pr 2.0266 1.8313 8.1048
Pr 2.0266 1.8313 13.1508
Pr 2.0266 -1.8313 1.0196
Pr 2.0266 -1.8313 6.0656
Se 0.0000 0.0000 0.0000
Se 0.0000 0.0000 7.0852
Se 2.0266 3.0850 1.7858
Se 2.0266 3.0850 5.2994
Se 2.0266 0.2723 10.6278
Se 2.0266 -0.2723 3.5426
Se 2.0266 -3.0850 8.8710
Se 2.0266 -3.0850 12.3846
```

Summary:
energy	-5.8421	eV per atom
space group	Cmcm, No. 63
E_form (uncorrected)	-1.82	eV per atom
spin magnetization	0.000	μB per formula unit
excess energy over the best structure of this formula in the dataset	24.2	kJ/mol of formula units

***

## Tb2Pr2Se7 (PBE)

Data for a relaxed Tb2Pr2Se7 crystal.

Cell and atoms, written as extended XYZ:
```
11
Lattice="5.1904 -5.2457 0.0000 5.1904 5.2457 0.0000 0.0000 0.0000 6.4656" Properties=species:S:1:pos:R:3 pbc="T T T"
Tb 2.2392 0.0000 0.0000
Tb 8.1416 0.0000 0.0000
Pr 5.1904 2.7783 3.2328
Pr 5.1904 -2.7783 3.2328
Se 0.0000 0.0000 1.6164
Se 0.0000 0.0000 4.8491
Se 2.5952 2.6228 1.4996
Se 2.5952 2.6228 4.9660
Se 2.5952 -2.6228 1.4996
Se 2.5952 -2.6228 4.9660
Se 5.1904 0.0000 3.2328
```

Summary:
energy	-5.3622	eV per atom
space group	Cmmm, No. 65
E_form (uncorrected)	-1.43	eV per atom
spin magnetization	0.000	μB per formula unit

***

Please write out number 2 again, unchanged.
## TbPr4Se5 (PBE)

Data for a relaxed TbPr4Se5 crystal.

Cell and atoms, written as extended XYZ:
```
10
Lattice="-2.1133 2.1133 15.0256 2.1133 -2.1133 15.0256 2.1133 2.1133 -15.0256" Properties=species:S:1:pos:R:3 pbc="T T T"
Tb 0.0000 0.0000 0.0000
Pr 0.0000 0.0000 5.8728
Pr 0.0000 0.0000 11.9704
Pr 0.0000 0.0000 18.0809
Pr 0.0000 0.0000 24.1784
Se 0.0000 0.0000 2.8749
Se 0.0000 0.0000 8.9389
Se 0.0000 0.0000 15.0256
Se 0.0000 0.0000 21.1124
Se 0.0000 0.0000 27.1764
```

Summary:
energy	-5.9400	eV per atom
space group	I4/mmm, No. 139
E_form (uncorrected)	-1.82	eV per atom
spin magnetization	0.000	μB per formula unit